Entry from the Alexandria database: an optimized crystal structure of AcLa6Nd2 (PBE).

a = 10.2888 Å, b = 10.2888 Å, c = 3.7042 Å
α = 90.00°, β = 90.00°, γ = 120.00°
Space group P-62m (No. 189)
One atom of each set of equivalent atoms:
Ac (0.0000, 0.0000, 0.0000) [1 per cell]
La (0.0000, 0.3571, 0.0000) [3 per cell]
La (0.0000, 0.6798, 0.5000) [3 per cell]
Nd (0.3333, 0.6667, 0.5000) [2 per cell]

Computed properties:
DOS(E_F)   1.772 states/eV per atom
Distance to the lowest polymorph of the same formula   0 meV/atom
Energy relative to the elements   0.04 eV/atom